(1)
# CuSbPd3 (PBE, optimized geometry)
data_CuSbPd3
_cell_length_a 9.721
_cell_length_b 9.721
_cell_length_c 9.721
_cell_angle_alpha 153.96
_cell_angle_beta 153.80
_cell_angle_gamma 37.27
_symmetry_space_group_name_H-M 'P 1'
_symmetry_Int_Tables_number 1
_symmetry_space_group_name_Hall 'P 1'
loop_
_atom_site_label
_atom_site_fract_x
_atom_site_fract_y
_atom_site_fract_z
_atom_site_occupancy
Cu1 0.382 0.132 0.250 1
Cu2 0.618 0.868 0.750 1
Sb1 0.116 0.366 0.750 1
Sb2 0.884 0.634 0.250 1
Pd1 0.199 0.949 0.250 1
Pd2 0.299 0.549 0.750 1
Pd3 0.460 0.710 0.750 1
Pd4 0.540 0.290 0.250 1
Pd5 0.701 0.451 0.250 1
Pd6 0.801 0.051 0.750 1
# Space group: Imma (74)
# Total magnetization in μB per formula unit: 0.00
# Energy above the most stable polymorph in this dataset in meV per atom: 144.2
# Uncorrected formation energy in eV/atom: -0.168

=====

(2)
# NaCa3Rh (PBE, optimized geometry)
data_NaCa3Rh
_cell_length_a 6.755
_cell_length_b 9.238
_cell_length_c 10.464
_cell_angle_alpha 90.00
_cell_angle_beta 90.00
_cell_angle_gamma 90.00
_symmetry_space_group_name_H-M 'P 1'
_symmetry_Int_Tables_number 1
_symmetry_space_group_name_Hall 'P 1'
loop_
_atom_site_label
_atom_site_fract_x
_atom_site_fract_y
_atom_site_fract_z
_atom_site_occupancy
Na1 0.000 0.000 0.000 1
Na2 0.000 0.500 0.000 1
Na3 0.500 0.000 0.500 1
Na4 0.500 0.500 0.500 1
Ca1 0.046 0.064 0.355 1
Ca2 0.046 0.436 0.355 1
Ca3 0.245 0.750 0.183 1
Ca4 0.255 0.250 0.683 1
Ca5 0.454 0.564 0.855 1
Ca6 0.454 0.936 0.855 1
Ca7 0.546 0.064 0.145 1
Ca8 0.546 0.436 0.145 1
Ca9 0.745 0.750 0.317 1
Ca10 0.755 0.250 0.817 1
Ca11 0.954 0.564 0.645 1
Ca12 0.954 0.936 0.645 1
Rh1 0.116 0.750 0.445 1
Rh2 0.384 0.250 0.945 1
Rh3 0.616 0.750 0.055 1
Rh4 0.884 0.250 0.555 1
# Space group: Pnma (62)
# Energy of formation from the pure elements in eV per atom: -0.038
# Total magnetization in μB per formula unit: 0.00
# Energy above the most stable polymorph in this dataset in meV per atom: 165.6

=====

(3)
# AcSn4Rh6 (PBE, optimized geometry)
data_AcSn4Rh6
_cell_length_a 7.663
_cell_length_b 7.663
_cell_length_c 4.145
_cell_angle_alpha 90.00
_cell_angle_beta 90.00
_cell_angle_gamma 120.00
_symmetry_space_group_name_H-M 'P 1'
_symmetry_Int_Tables_number 1
_symmetry_space_group_name_Hall 'P 1'
loop_
_atom_site_label
_atom_site_fract_x
_atom_site_fract_y
_atom_site_fract_z
_atom_site_occupancy
Ac1 0.000 0.000 0.000 1
Sn1 0.333 0.667 0.000 1
Sn2 0.398 0.199 0.500 1
Sn3 0.801 0.199 0.500 1
Sn4 0.801 0.602 0.500 1
Rh1 0.203 0.406 0.500 1
Rh2 0.203 0.797 0.500 1
Rh3 0.533 0.067 0.000 1
Rh4 0.533 0.467 0.000 1
Rh5 0.594 0.797 0.500 1
Rh6 0.933 0.467 0.000 1
# Space group: P-6m2 (187)
# Energy of formation from the pure elements in eV per atom: -0.557
# Total magnetization in μB per formula unit: 0.00

=====

(4)
# Pm3Al9Zn2 (PBE, optimized geometry)
data_Pm3Al9Zn2
_cell_length_a 8.393
_cell_length_b 8.393
_cell_length_c 8.393
_cell_angle_alpha 150.07
_cell_angle_beta 105.50
_cell_angle_gamma 82.31
_symmetry_space_group_name_H-M 'P 1'
_symmetry_Int_Tables_number 1
_symmetry_space_group_name_Hall 'P 1'
loop_
_atom_site_label
_atom_site_fract_x
_atom_site_fract_y
_atom_site_fract_z
_atom_site_occupancy
Pm1 0.000 0.000 0.000 1
Pm2 0.318 0.318 0.000 1
Pm3 0.682 0.682 0.000 1
Al1 0.033 0.662 0.371 1
Al2 0.140 0.864 0.276 1
Al3 0.291 0.662 0.629 1
Al4 0.412 0.136 0.276 1
Al5 0.500 0.000 0.500 1
Al6 0.588 0.864 0.724 1
Al7 0.709 0.338 0.371 1
Al8 0.860 0.136 0.724 1
Al9 0.967 0.338 0.629 1
Zn1 0.285 0.500 0.785 1
Zn2 0.715 0.500 0.215 1
# Space group: Immm (71)
# Energy of formation from the pure elements in eV per atom: -0.391
# Total magnetization in μB per formula unit: 0.00

=====

(5)
# CaY4Er (PBE, optimized geometry)
data_CaY4Er
_cell_length_a 16.071
_cell_length_b 16.071
_cell_length_c 7.121
_cell_angle_alpha 90.00
_cell_angle_beta 90.00
_cell_angle_gamma 167.28
_symmetry_space_group_name_H-M 'P 1'
_symmetry_Int_Tables_number 1
_symmetry_space_group_name_Hall 'P 1'
loop_
_atom_site_label
_atom_site_fract_x
_atom_site_fract_y
_atom_site_fract_z
_atom_site_occupancy
Ca1 0.244 0.756 0.750 1
Ca2 0.756 0.244 0.250 1
Y1 0.080 0.920 0.750 1
Y2 0.344 0.656 0.000 1
Y3 0.344 0.656 0.500 1
Y4 0.500 0.500 0.000 1
Y5 0.500 0.500 0.500 1
Y6 0.656 0.344 0.000 1
Y7 0.656 0.344 0.500 1
Y8 0.920 0.080 0.250 1
Er1 0.079 0.921 0.250 1
Er2 0.921 0.079 0.750 1
# Space group: Cmcm (63)
# Energy of formation from the pure elements in eV per atom: 0.077
# Total magnetization in μB per formula unit: 0.00

=====

(6)
# Tb4Hg2C (PBE, optimized geometry)
data_Tb4Hg2C
_cell_length_a 6.442
_cell_length_b 6.625
_cell_length_c 9.232
_cell_angle_alpha 90.00
_cell_angle_beta 109.19
_cell_angle_gamma 90.00
_symmetry_space_group_name_H-M 'P 1'
_symmetry_Int_Tables_number 1
_symmetry_space_group_name_Hall 'P 1'
loop_
_atom_site_label
_atom_site_fract_x
_atom_site_fract_y
_atom_site_fract_z
_atom_site_occupancy
Tb1 0.163 0.250 0.077 1
Tb2 0.227 0.002 0.728 1
Tb3 0.227 0.498 0.728 1
Tb4 0.298 0.750 0.354 1
Tb5 0.702 0.250 0.646 1
Tb6 0.773 0.502 0.272 1
Tb7 0.773 0.998 0.272 1
Tb8 0.837 0.750 0.923 1
Hg1 0.217 0.250 0.425 1
Hg2 0.375 0.750 0.036 1
Hg3 0.625 0.250 0.964 1
Hg4 0.783 0.750 0.575 1
C1 0.054 0.250 0.815 1
C2 0.946 0.750 0.185 1
# Space group: P2_1/m (11)
# Energy of formation from the pure elements in eV per atom: -0.241
# Total magnetization in μB per formula unit: 0.00
# Energy above the most stable polymorph in this dataset in meV per atom: 99.2

=====

(7)
# Tb3MgCo (PBE, optimized geometry)
data_Tb3MgCo
_cell_length_a 8.529
_cell_length_b 6.935
_cell_length_c 10.400
_cell_angle_alpha 90.00
_cell_angle_beta 121.67
_cell_angle_gamma 90.00
_symmetry_space_group_name_H-M 'P 1'
_symmetry_Int_Tables_number 1
_symmetry_space_group_name_Hall 'P 1'
loop_
_atom_site_label
_atom_site_fract_x
_atom_site_fract_y
_atom_site_fract_z
_atom_site_occupancy
Tb1 0.068 0.142 0.310 1
Tb2 0.068 0.358 0.810 1
Tb3 0.233 0.510 0.586 1
Tb4 0.233 0.990 0.086 1
Tb5 0.309 0.019 0.691 1
Tb6 0.309 0.481 0.191 1
Tb7 0.691 0.519 0.809 1
Tb8 0.691 0.981 0.309 1
Tb9 0.767 0.010 0.914 1
Tb10 0.767 0.490 0.414 1
Tb11 0.932 0.642 0.190 1
Tb12 0.932 0.858 0.690 1
Mg1 0.443 0.708 0.968 1
Mg2 0.443 0.792 0.468 1
Mg3 0.557 0.208 0.532 1
Mg4 0.557 0.292 0.032 1
Co1 0.005 0.694 0.958 1
Co2 0.005 0.806 0.458 1
Co3 0.995 0.194 0.542 1
Co4 0.995 0.306 0.042 1
# Space group: P2_1/c (14)
# Energy of formation from the pure elements in eV per atom: -0.099
# Total magnetization in μB per formula unit: 0.00
# Energy above the most stable polymorph in this dataset in meV per atom: 0.0

=====

(8)
# BaSrPb2 (PBE, optimized geometry)
data_BaSrPb2
_cell_length_a 8.452
_cell_length_b 8.452
_cell_length_c 8.452
_cell_angle_alpha 90.00
_cell_angle_beta 90.00
_cell_angle_gamma 90.00
_symmetry_space_group_name_H-M 'P 1'
_symmetry_Int_Tables_number 1
_symmetry_space_group_name_Hall 'P 1'
loop_
_atom_site_label
_atom_site_fract_x
_atom_site_fract_y
_atom_site_fract_z
_atom_site_occupancy
Ba1 0.000 0.000 0.000 1
Ba2 0.000 0.500 0.500 1
Ba3 0.500 0.000 0.500 1
Ba4 0.500 0.500 0.000 1
Sr1 0.250 0.250 0.250 1
Sr2 0.250 0.750 0.750 1
Sr3 0.750 0.250 0.750 1
Sr4 0.750 0.750 0.250 1
Pb1 0.000 0.000 0.500 1
Pb2 0.000 0.500 0.000 1
Pb3 0.250 0.250 0.750 1
Pb4 0.250 0.750 0.250 1
Pb5 0.500 0.000 0.000 1
Pb6 0.500 0.500 0.500 1
Pb7 0.750 0.250 0.250 1
Pb8 0.750 0.750 0.750 1
# Space group: F-43m (216)
# Energy of formation from the pure elements in eV per atom: -0.235
# Total magnetization in μB per formula unit: 0.00